First-principles (PBE-GGA) data for a geometry-optimized Co2NiPt structure, as listed in the Alexandria database.

Summary:
Energy of formation from the pure elements = -67 meV per atom
Energy = -52.60 eV/cell
M_tot = 4.7 μB/f.u.
Crystal system = tetragonal

Unit cell a=3.6372 b=3.6372 c=7.4284 alpha=90.00 beta=90.00 gamma=90.00
Last column: nearest neighbours and their distance in Å.
Space group I4/mmm (No. 139)
One atom of each set of equivalent atoms:
Co  0.0000  0.5000  0.2500  4 Co 2.57, 4 Ni 2.60, 4 Pt 2.60
Ni  0.0000  0.0000  0.0000  4 Pt 2.57, 8 Co 2.60
Pt  0.0000  0.0000  0.5000  4 Ni 2.57, 8 Co 2.60

First-principles (PBE-GGA) data for a geometry-optimized Co2NiPt structure, as listed in the Alexandria database.

Summary:
Energy of formation from the pure elements = -60 meV per atom
Energy = -52.55 eV/cell
M_tot = 4.6 μB/f.u.
Crystal system = orthorhombic

Unit cell a=3.6863 b=3.6248 c=7.3464 alpha=90.00 beta=90.00 gamma=90.00
Last column: nearest neighbours and their distance in Å.
Space group Pmma (No. 51)
One atom of each set of equivalent atoms:
Co  0.2500  0.0000  0.1124  8 Co 2.46-2.58, 2 Pt 2.58, 2 Ni 2.60
Co  0.2500  0.5000  0.8865  8 Co 2.46-2.58, 2 Ni 2.58, 2 Pt 2.60
Ni  0.2500  0.0000  0.6372  4 Co 2.58-2.60, 6 Pt 2.58-2.71, 2 Ni 2.73
Pt  0.2500  0.5000  0.3627  4 Co 2.58-2.60, 6 Ni 2.58-2.71, 2 Pt 2.73

First-principles (PBE-GGA) data for a geometry-optimized CoNiPt5 structure, as listed in the Alexandria database.

Summary:
Energy of formation from the pure elements = 104 meV per atom
Energy = -84.73 eV/cell
M_tot = 4.0 μB/f.u.
Crystal system = triclinic

Unit cell a=4.6931 b=7.1130 c=7.1134 alpha=73.00 beta=76.44 gamma=88.78
Last column: nearest neighbours and their distance in Å.
Space group P-1 (No. 2)
One atom of each set of equivalent atoms:
Co  0.0000  0.0000  0.0000  10 Pt 2.65-2.76
Co  0.5000  0.0000  0.5000  8 Pt 2.53-2.68
Ni  0.2502  0.5002  0.2483  11 Pt 2.64-2.81
Pt  0.1329  0.2317  0.6175  2 Co 2.53-2.67, 4 Pt 2.66-2.75, 2 Ni 2.70-2.81
Pt  0.1885  0.3709  0.9447  3 Ni 2.66-2.73, 7 Pt 2.68-2.85, 1 Co 2.69
Pt  0.2959  0.6316  0.5644  7 Pt 2.64-2.85, 3 Ni 2.64-2.78, 1 Co 2.68
Pt  0.3736  0.7586  0.8637  2 Co 2.59-2.65, 6 Pt 2.64-2.78, 2 Ni 2.68-2.75
Pt  0.4222  0.8818  0.1915  7 Pt 2.64-2.78, 3 Co 2.65-2.76, 1 Ni 2.74

First-principles (PBE-GGA) data for a geometry-optimized CoNi3Pt4 structure, as listed in the Alexandria database.

Summary:
Energy of formation from the pure elements = 67 meV per atom
Energy = -96.15 eV/cell
M_tot = 5.0 μB/f.u.
Crystal system = orthorhombic

Unit cell a=2.7109 b=4.6221 c=17.7926 alpha=90.00 beta=90.00 gamma=90.00
Last column: nearest neighbours and their distance in Å.
Space group Immm (No. 71)
One atom of each set of equivalent atoms:
Co  0.0000  0.0000  0.0000  4 Pt 2.62, 4 Ni 2.68, 2 Co 2.71
Ni  0.0000  0.0000  0.2517  4 Pt 2.59-2.61, 6 Ni 2.68-2.71
Ni  0.0000  0.0000  0.5000  4 Pt 2.59, 4 Co 2.68, 2 Ni 2.71
Pt  0.0000  0.5000  0.1240  4 Ni 2.59, 6 Pt 2.68-2.71
Pt  0.0000  0.5000  0.3739  2 Ni 2.61, 2 Co 2.62, 6 Pt 2.68-2.71

First-principles (PBE-GGA) data for a geometry-optimized CoNi5Pt2 structure, as listed in the Alexandria database.

Summary:
Energy of formation from the pure elements = -61 meV per atom
Energy = -194.34 eV/cell
M_tot = 5.9 μB/f.u.
Crystal system = monoclinic

Unit cell a=8.1952 b=3.6383 c=13.2464 alpha=90.00 beta=97.30 gamma=90.00
Last column: nearest neighbours and their distance in Å.
Space group C2/m (No. 12)
One atom of each set of equivalent atoms:
Co  0.0902  0.0000  0.2177  7 Ni 2.56-2.64, 5 Pt 2.56-2.62
Ni  0.0291  0.0000  0.4083  8 Ni 2.53-2.64, 3 Pt 2.57-2.59, 1 Co 2.64
Ni  0.0301  0.5000  0.9100  7 Ni 2.50-2.64, 3 Pt 2.59, 2 Co 2.59
Ni  0.0916  0.5000  0.7194  3 Co 2.56-2.63, 5 Pt 2.56-2.63, 4 Ni 2.59-2.64
Ni  0.1509  0.5000  0.5304  9 Ni 2.50-2.64, 3 Pt 2.55-2.58
Ni  0.1517  0.0000  0.0313  8 Ni 2.52-2.63, 3 Pt 2.57, 1 Co 2.58
Pt  0.2162  0.5000  0.3475  9 Ni 2.55-2.63, 2 Co 2.62, 1 Pt 2.70
Pt  0.2182  0.0000  0.8470  3 Co 2.56-2.62, 8 Ni 2.57-2.61, 1 Pt 2.70

First-principles (PBE-GGA) data for a geometry-optimized Co3Ni2Pt3 structure, as listed in the Alexandria database.

Summary:
Energy of formation from the pure elements = -73 meV per atom
Energy = -103.17 eV/cell
M_tot = 8.4 μB/f.u.
Crystal system = orthorhombic

Unit cell a=3.6904 b=3.7690 c=14.8896 alpha=90.00 beta=90.00 gamma=90.00
Last column: nearest neighbours and their distance in Å.
Space group Immm (No. 71)
One atom of each set of equivalent atoms:
Co  0.0000  0.0000  0.0000  8 Pt 2.64-2.67, 4 Co 2.70
Co  0.0000  0.5000  0.1295  4 Ni 2.56-2.61, 6 Pt 2.64-2.67, 2 Co 2.70
Ni  0.0000  0.0000  0.2510  4 Co 2.56-2.61, 4 Pt 2.58-2.59, 4 Ni 2.64
Pt  0.0000  0.0000  0.5000  8 Co 2.64-2.67, 4 Pt 2.70
Pt  0.0000  0.5000  0.3705  4 Ni 2.58-2.59, 6 Co 2.64-2.67, 2 Pt 2.70

First-principles (PBE-GGA) data for a geometry-optimized CoNi3Pt2 structure, as listed in the Alexandria database.

Summary:
Energy of formation from the pure elements = 219 meV per atom
Energy = -281.76 eV/cell
M_tot = 4.8 μB/f.u.
Crystal system = tetragonal

Unit cell a=7.8112 b=7.8112 c=11.1234 alpha=90.00 beta=90.00 gamma=90.00
Last column: nearest neighbours and their distance in Å.
Space group I4_1/amd (No. 141, origin choice 2)
One atom of each set of equivalent atoms:
Co  0.0000  0.2500  0.2696  1 Co 2.34, 2 Pt 2.50, 4 Ni 2.53
Ni  0.0000  0.0000  0.0000  6 Pt 2.45-2.48, 4 Ni 2.73
Ni  0.2033  0.0467  0.3750  4 Pt 2.52-2.66, 2 Co 2.53, 2 Ni 2.73
Pt  0.0000  0.0604  0.7839  7 Ni 2.45-2.66, 1 Co 2.50

First-principles (PBE-GGA) data for a geometry-optimized Co2NiPt structure, as listed in the Alexandria database.

Summary:
Energy of formation from the pure elements = -72 meV per atom
Energy = -26.32 eV/cell
M_tot = 4.9 μB/f.u.
Crystal system = tetragonal

Unit cell a=3.6406 b=3.6406 c=3.7142 alpha=90.00 beta=90.00 gamma=90.00
Last column: nearest neighbours and their distance in Å.
Space group P4/mmm (No. 123)
One atom of each set of equivalent atoms:
Co  0.0000  0.5000  0.0000  4 Co 2.57, 4 Ni 2.60, 4 Pt 2.60
Ni  0.0000  0.0000  0.5000  4 Pt 2.57, 8 Co 2.60
Pt  0.5000  0.5000  0.5000  4 Ni 2.57, 8 Co 2.60

First-principles (PBE-GGA) data for a geometry-optimized Co5Ni2Pt4 structure, as listed in the Alexandria database.

Summary:
Energy of formation from the pure elements = 36 meV per atom
Energy = -141.73 eV/cell
M_tot = 11.8 μB/f.u.
Crystal system = monoclinic

Unit cell a=17.6293 b=2.6537 c=6.2897 alpha=90.00 beta=96.61 gamma=90.00
Last column: nearest neighbours and their distance in Å.
Space group C2/m (No. 12)
One atom of each set of equivalent atoms:
Co  0.0000  0.0000  0.0000  8 Pt 2.58-2.74, 2 Co 2.65, 2 Ni 2.66
Co  0.1892  0.5000  0.4789  7 Co 2.46-2.65, 1 Pt 2.59, 2 Ni 2.66
Co  0.2263  0.0000  0.8066  1 Ni 2.43, 5 Co 2.46-2.65, 3 Pt 2.51-2.62
Ni  0.0899  0.0000  0.6888  4 Co 2.43-2.66, 6 Pt 2.59-2.71, 2 Ni 2.65
Pt  0.0447  0.5000  0.3430  3 Co 2.58-2.59, 4 Ni 2.59-2.71, 4 Pt 2.65-2.66
Pt  0.1366  0.5000  0.0359  5 Co 2.51-2.74, 2 Ni 2.61, 3 Pt 2.65-2.66

First-principles (PBE-GGA) data for a geometry-optimized Co2NiPt structure, as listed in the Alexandria database.

Summary:
Energy of formation from the pure elements = -31 meV per atom
Energy = -26.16 eV/cell
M_tot = 4.4 μB/f.u.
Crystal system = tetragonal

Unit cell a=2.6332 b=2.6332 c=7.0855 alpha=90.00 beta=90.00 gamma=90.00
Last column: nearest neighbours and their distance in Å.
Space group P4mm (No. 99)
One atom of each set of equivalent atoms:
Co  0.0000  0.0000  0.0000  8 Co 2.46-2.63, 4 Pt 2.66
Co  0.5000  0.5000  0.2266  8 Co 2.46-2.63, 4 Ni 2.50
Ni  0.0000  0.0000  0.4610  4 Co 2.50, 4 Ni 2.63, 4 Pt 2.67
Pt  0.5000  0.5000  0.7317  4 Pt 2.63, 4 Co 2.66, 4 Ni 2.67

First-principles (PBE-GGA) data for a geometry-optimized Co2Ni4Pt structure, as listed in the Alexandria database.

Summary:
Energy of formation from the pure elements = 220 meV per atom
Energy = -41.83 eV/cell
M_tot = 6.7 μB/f.u.
Crystal system = triclinic

Unit cell a=3.9870 b=4.4042 c=5.7410 alpha=105.59 beta=93.10 gamma=112.54
Last column: nearest neighbours and their distance in Å.
Space group P-1 (No. 2)
One atom of each set of equivalent atoms:
Co  0.2368  0.4669  0.1340  5 Ni 2.34-2.62, 1 Co 2.52, 2 Pt 2.52-2.61
Ni  0.0000  0.5000  0.5000  6 Ni 2.34-2.56, 2 Co 2.34
Ni  0.0423  0.0869  0.7283  5 Ni 2.31-2.56, 2 Co 2.35-2.58, 1 Pt 2.54
Ni  0.5000  0.0000  0.5000  6 Ni 2.31-2.39, 2 Co 2.50
Pt  0.5000  0.0000  0.0000  6 Co 2.52-2.78, 4 Ni 2.54-2.70

First-principles (PBE-GGA) data for a geometry-optimized Co12Ni6Pt structure, as listed in the Alexandria database.

Summary:
Energy of formation from the pure elements = 191 meV per atom
Energy = -367.14 eV/cell
M_tot = 25.1 μB/f.u.
Crystal system = trigonal

Unit cell a=10.3967 b=10.3967 c=7.2753 alpha=90.00 beta=90.00 gamma=120.00
Last column: nearest neighbours and their distance in Å.
Space group R-3 (No. 148, hexagonal axes)
One atom of each set of equivalent atoms:
Co  0.0512  0.7938  0.0857  3 Co 2.31-2.47, 4 Ni 2.44-2.58, 1 Pt 2.53
Co  0.0668  0.8335  0.4220  6 Co 2.31-2.47, 3 Ni 2.39-2.53
Ni  0.0520  0.8385  0.7570  9 Co 2.39-2.61, 1 Pt 2.67
Pt  0.0000  0.0000  0.0000  6 Co 2.53, 6 Ni 2.67

| no. | Fermi-level density of states (states/eV per cell) |
| --- | --- |
| 1 | 9.2 |
| 2 | 10.0 |
| 3 | 22.1 |
| 4 | 25.5 |
| 5 | 43.6 |
| 6 | 20.1 |
| 7 | 79.1 |
| 8 | 4.0 |
| 9 | 24.6 |
| 10 | 3.9 |
| 11 | 9.9 |
| 12 | 59.5 |